# 1
VASP calculation (PBEsol) on crystalline KAlTe2N at its relaxed geometry.

abc: 6.0154 6.0154 3.4448
angles: 90.00 90.00 90.00
Positions (direct):
K  0.0000  0.0000  0.0000
Al  0.5000  0.5000  0.5000
Te  0.0000  0.5000  0.5000
Te  0.5000  0.0000  0.5000
N  0.5000  0.5000  0.0000

Summary:
For the uncorrected formation energy, the calculation gives -146 meV/atom.



# 2
VASP calculation (PBEsol) on crystalline K3NaAl at its relaxed geometry.

abc: 6.5734 6.5734 6.5734
angles: 90.00 90.00 90.00
Positions (direct):
K  0.0000  0.0000  0.5000
K  0.0000  0.5000  0.0000
K  0.5000  0.0000  0.0000
Na  0.0000  0.0000  0.0000
Al  0.5000  0.5000  0.5000

Summary:
For the energy relative to the elements, the calculation gives 0.5913 eV/atom.



# 3
VASP calculation (PBEsol) on crystalline KNa7Al8Si8O32 at its relaxed geometry.

abc: 8.4091 9.9232 10.0469
angles: 119.16 90.05 90.02
Positions (direct):
K  0.0000  0.0000  0.0000
Na  0.0054  0.0243  0.4409
Na  0.0078  0.4520  0.9998
Na  0.0077  0.5775  0.5465
Na  0.5040  0.0081  0.5585
Na  0.5046  0.0149  0.9353
Na  0.5053  0.5783  0.0034
Na  0.5100  0.4476  0.4514
Al  0.1896  0.3376  0.2375
Al  0.1928  0.9224  0.6643
Al  0.1989  0.7720  0.1052
Al  0.1995  0.3642  0.6637
Al  0.6902  0.6932  0.7680
Al  0.6933  0.1082  0.3368
Al  0.6970  0.6681  0.3416
Al  0.7005  0.2607  0.9024
Si  0.3129  0.6684  0.3416
Si  0.3165  0.2591  0.9015
Si  0.3194  0.1099  0.3408
Si  0.3242  0.6945  0.7689
Si  0.8135  0.3636  0.6628
Si  0.8161  0.7712  0.1057
Si  0.8187  0.9220  0.6636
Si  0.8252  0.3372  0.2364
O  0.0000  0.7143  0.0571
O  0.1881  0.7920  0.7354
O  0.1997  0.9710  0.2289
O  0.2031  0.5384  0.3528
O  0.2068  0.2801  0.0436
O  0.2374  0.3637  0.8350
O  0.2469  0.1813  0.5134
O  0.2667  0.8405  0.4788
O  0.2865  0.6620  0.1778
O  0.3065  0.5100  0.6513
O  0.3122  0.7309  0.9448
O  0.3237  0.0743  0.7770
O  0.3305  0.2416  0.2886
O  0.4976  0.6291  0.3567
O  0.4987  0.0466  0.3421
O  0.4995  0.7532  0.7466
O  0.5008  0.3123  0.9529
O  0.6879  0.2374  0.2647
O  0.6987  0.0595  0.7800
O  0.7039  0.4935  0.6507
O  0.7119  0.7502  0.9604
O  0.7315  0.6653  0.1686
O  0.7465  0.8516  0.4920
O  0.7701  0.1926  0.5231
O  0.7832  0.3678  0.8252
O  0.8023  0.5217  0.3532
O  0.8198  0.2997  0.0591
O  0.8220  0.9539  0.2317
O  0.8302  0.7908  0.7169
O  0.9980  0.9886  0.6685
O  0.9995  0.2855  0.2671
O  0.9992  0.4056  0.6533

Summary:
For the uncorrected formation energy, the calculation gives -2754 meV/atom.



# 4
VASP calculation (PBEsol) on crystalline KNaAlOs2 at its relaxed geometry.

abc: 4.7567 4.7567 4.9067
angles: 90.00 90.00 90.00
Positions (direct):
K  0.0000  0.0000  0.0000
Na  0.5000  0.5000  0.5000
Al  0.5000  0.5000  0.0000
Os  0.0000  0.5000  0.5000
Os  0.5000  0.0000  0.5000

Summary:
For the energy relative to the elements, the calculation gives 2.5466 eV/atom.



# 5
VASP calculation (PBEsol) on crystalline K2NaAlP2 at its relaxed geometry.

abc: 8.5414 8.5414 8.5414
angles: 134.76 64.10 137.11
Positions (direct):
K  0.1765  0.2410  0.4175
K  0.3235  0.7410  0.0645
K  0.6765  0.2590  0.9355
K  0.8235  0.7590  0.5825
Na  0.2500  0.2500  0.0000
Na  0.7500  0.7500  0.0000
Al  0.2500  0.7500  0.5000
Al  0.7500  0.2500  0.5000
P  0.0926  0.6984  0.7910
P  0.4074  0.1984  0.6058
P  0.5926  0.8016  0.3942
P  0.9074  0.3016  0.2090

Summary:
For the energy relative to the elements, the calculation gives -0.5428 eV/atom.



# 6
VASP calculation (PBEsol) on crystalline K3NbAl at its relaxed geometry.

abc: 6.3534 6.3534 6.3534
angles: 90.00 90.00 90.00
Positions (direct):
K  0.0000  0.0000  0.5000
K  0.0000  0.5000  0.0000
K  0.5000  0.0000  0.0000
Nb  0.5000  0.5000  0.5000
Al  0.0000  0.0000  0.0000

Summary:
For the energy relative to the elements, the calculation gives 1.5222 eV/atom.



Calculated calculated total energy, -4.3070; -1.1870; -7.3546; -3.6646; -3.7662; -2.1404 eV per atom (same order as the records).
Calculated total magnetization, 0.00; 0.00; 0.00; 3.16; 0.00; 4.68 μB/cell (same order as the records).